LiYGa2 | PBE | relaxed

```
LiYGa2
1.0
6.957 0.000 0.000
0.000 4.334 0.000
0.000 0.000 10.266
Li Y Ga
4 4 8
Direct
0.048 0.250 0.101
0.452 0.750 0.601
0.548 0.250 0.399
0.952 0.750 0.899
0.216 0.750 0.331
0.284 0.250 0.831
0.716 0.750 0.169
0.784 0.250 0.669
0.075 0.750 0.650
0.223 0.250 0.539
0.277 0.750 0.039
0.425 0.250 0.150
0.575 0.750 0.850
0.723 0.250 0.961
0.777 0.750 0.461
0.925 0.250 0.350
```

Computed properties:
E_form (eV/atom): -0.521
Space group: No. 62
M_tot (μB per atom): 0.0000
E (eV per atom): -4.1289


LiYZn2Ga4 | PBE | relaxed

```
LiYZn2Ga4
1.0
2.203 1.272 8.512
-2.203 1.272 8.512
0.000 -2.543 8.512
Li Y Zn Ga
1 1 2 4
Direct
0.000 0.000 0.000
0.500 0.500 0.500
0.255 0.255 0.255
0.745 0.745 0.745
0.105 0.105 0.105
0.370 0.370 0.370
0.630 0.630 0.630
0.895 0.895 0.895
```

Computed properties:
E_form (eV/atom): -0.263
Space group: No. 166
M_tot (μB per atom): 0.0000
E (eV per atom): -3.1418


Repeat the second record exactly.
LiYZn2Ga4 | PBE | relaxed

```
LiYZn2Ga4
1.0
2.203 1.272 8.512
-2.203 1.272 8.512
0.000 -2.543 8.512
Li Y Zn Ga
1 1 2 4
Direct
0.000 0.000 0.000
0.500 0.500 0.500
0.255 0.255 0.255
0.745 0.745 0.745
0.105 0.105 0.105
0.370 0.370 0.370
0.630 0.630 0.630
0.895 0.895 0.895
```

Computed properties:
E_form (eV/atom): -0.263
Space group: No. 166
M_tot (μB per atom): 0.0000
E (eV per atom): -3.1418


Which formula does entry 1 have? LiYGa2